YFeAg4 PBE optimized geometry; E_form = 182 meV per atom; SG = No. 216; DOS(E_F) = 9.63 states/eV/f.u.; calculated volume = 19.7 Å³ per atom
1.0
0.0000 3.8933 3.8933
3.8933 0.0000 3.8933
3.8933 3.8933 0.0000
Y Fe Ag
1 1 4
Cartesian
0.0000 0.0000 0.0000 Y
1.9467 1.9467 1.9467 Fe
4.8629 2.9237 2.9237 Ag
2.9237 4.8629 2.9237 Ag
2.9237 2.9237 4.8629 Ag
4.8629 4.8629 4.8629 Ag

=====

BePdSe PBE optimized geometry; SG = No. 1; E_form (uncorrected) = -0.40 eV/atom; DOS(E_F) = 0.61 states/eV/f.u.; calculated volume = 18.4 Å³ per atom
1.0
3.4882 0.0000 0.0000
-0.0266 3.9679 0.0000
-0.0653 -0.0005 7.9723
Be Pd Se
2 2 2
Cartesian
0.0000 0.0000 0.0000 Be
-0.0108 1.9857 2.0138 Be
1.4701 1.9980 0.1203 Pd
1.4838 0.0143 1.8912 Pd
1.7622 0.0163 6.5550 Se
1.8147 2.0013 3.4295 Se

=====

CrIrCl PBE optimized geometry; offset from the most stable computed form = 0.0 meV per atom; SG = No. 156; E_form (uncorrected) = 0.10 eV/atom; DOS(E_F) = 2.27 states/eV/f.u.; calculated volume = 16.2 Å³ per atom
1.0
2.8030 0.0000 0.0000
-1.4015 2.4274 0.0000
0.0000 0.0000 7.1535
Cr Ir Cl
1 1 1
Cartesian
0.0000 0.0000 0.0000 Cr
1.4015 0.8091 1.9892 Ir
0.0000 1.6183 5.4956 Cl

=====

LiBeCr3 PBE optimized geometry; offset from the most stable computed form = 436.4 meV per atom; E_form = 1532 meV per atom; SG = No. 221; DOS(E_F) = 5.49 states/eV/f.u.; calculated volume = 11.7 Å³ per atom
1.0
3.8854 0.0000 0.0000
0.0000 3.8854 0.0000
0.0000 0.0000 3.8854
Li Be Cr
1 1 3
Cartesian
0.0000 0.0000 0.0000 Li
1.9427 1.9427 1.9427 Be
0.0000 0.0000 1.9427 Cr
0.0000 1.9427 0.0000 Cr
1.9427 0.0000 0.0000 Cr

=====

Pm2NdSm6 PBE optimized geometry; offset from the most stable computed form = 148.9 meV per atom; E_form = 204 meV per atom; SG = No. 12; DOS(E_F) = 14.99 states/eV/f.u.; calculated volume = 34.7 Å³ per atom
1.0
6.6027 -3.8120 0.0000
6.6027 3.8120 0.0000
-0.0008 0.0000 6.1952
Pm Nd Sm
2 1 6
Cartesian
2.1997 0.0000 1.3298 Pm
11.0048 0.0000 4.8653 Pm
6.6027 0.0000 0.0000 Nd
5.3595 2.1426 1.8073 Sm
4.1304 0.0000 4.3893 Sm
7.8451 2.1426 4.3879 Sm
5.3595 -2.1426 1.8073 Sm
9.0742 0.0000 1.8059 Sm
7.8451 -2.1426 4.3879 Sm

=====

ScAl2Os PBE optimized geometry; E_form = -101 meV per atom; SG = No. 65; DOS(E_F) = 3.91 states/eV/f.u.; calculated volume = 16.7 Å³ per atom
1.0
1.6092 -2.3725 0.0000
1.6092 2.3725 0.0000
0.0000 0.0000 8.7678
Sc Al Os
1 2 1
Cartesian
0.0000 0.0000 0.0000 Sc
1.6092 0.0000 2.4317 Al
1.6092 0.0000 6.3361 Al
0.0000 0.0000 4.3839 Os

=====

Question: The lowest DOS(E_F) belongs to which entry?
Answer: BePdSe

=====

Question: Which formula does entry 5 have?
Answer: Pm2NdSm6